Record 1
A plane-wave DFT calculation with PBE-GGA was carried out for a relaxed structure of Tl5Cl4O.

Cell lengths 7.6850, 7.6850, 7.6850 Å; angles 100.57, 100.57, 129.29 degrees
Atoms (fractional coordinates):
Tl 0.0000 0.0000 0.0000
Tl 0.1493 0.3368 0.6559
Tl 0.3368 0.6809 0.1875
Tl 0.4934 0.1493 0.8125
Tl 0.6809 0.4934 0.3441
Cl 0.0077 0.6294 0.8083
Cl 0.1994 0.0077 0.3783
Cl 0.6294 0.8211 0.6217
Cl 0.8211 0.1994 0.1917
O 0.3370 0.3370 0.0000

Values from the calculation:
- magnetization (μB/atom) = 0.098
- raw formation energy (eV per atom) = -0.82
- space group = No. 79

=====

Record 2
A plane-wave DFT calculation with PBE-GGA was carried out for a relaxed structure of Pr2PuPt9.

Cell lengths 9.4905, 9.4905, 9.4905 Å; angles 33.48, 33.48, 33.48 degrees
Atoms (fractional coordinates):
Pr 0.1388 0.1388 0.1388
Pr 0.8612 0.8612 0.8612
Pu 0.0000 0.0000 0.0000
Pt 0.0808 0.5854 0.5854
Pt 0.3327 0.3327 0.3327
Pt 0.4146 0.4146 0.9192
Pt 0.4146 0.9192 0.4146
Pt 0.5000 0.5000 0.5000
Pt 0.5854 0.0808 0.5854
Pt 0.5854 0.5854 0.0808
Pt 0.6673 0.6673 0.6673
Pt 0.9192 0.4146 0.4146

Values from the calculation:
- magnetization (μB/atom) = 0.436
- space group = No. 166
- uncorrected energy (eV per cell) = -88.04

=====

Q: Number 2 is which compound?
A: Pr2PuPt9

=====

Q: magnetization of number 2 (Pr2PuPt9)?
A: 0.436 μB/atom

=====

Q: Among the records above, which one has the highest magnetization?
A: Pr2PuPt9